A geometry-optimized Sm3Zr2PaAs6 structure, computed with PBE-GGA.

The space group is No. 12. As for the total energy: -84.35 eV per cell. For the formation energy, the calculation gives -126 kJ per mole of atoms.

Unit cell a=7.0285 b=7.0285 c=7.1043 alpha=99.51 beta=99.51 gamma=120.00
Last column: nearest neighbours and their distance in Å.
Sites, in units of the cell vectors:
Sm 0.0000 0.0000 0.0000  6 As 2.93-2.96
Sm 0.3350 0.6650 0.0000  6 As 2.93-2.96
Sm 0.6650 0.3350 0.0000  6 As 2.93-2.96
Zr 0.1667 0.8333 0.5000  6 As 2.79-2.81
Zr 0.8333 0.1667 0.5000  6 As 2.79-2.81
Pa 0.5000 0.5000 0.5000  6 As 2.84-2.85
As 0.0842 0.4222 0.2657  2 Zr 2.81, 1 Pa 2.85, 3 Sm 2.93-2.96
As 0.2390 0.2390 0.7309  2 Zr 2.79, 1 Pa 2.84, 3 Sm 2.93-2.96
As 0.4222 0.0842 0.2657  2 Zr 2.81, 1 Pa 2.85, 3 Sm 2.93-2.96
As 0.5778 0.9158 0.7343  2 Zr 2.81, 1 Pa 2.85, 3 Sm 2.93-2.96
As 0.7610 0.7610 0.2691  2 Zr 2.79, 1 Pa 2.84, 3 Sm 2.93-2.96
As 0.9158 0.5778 0.7343  2 Zr 2.81, 1 Pa 2.85, 3 Sm 2.93-2.96